Compound: CeBeNiO4
Source: the Alexandria database
Functional: PBE+U
Structure: relaxed

Unit cell a=5.794 b=8.394 c=6.788 alpha=90.00 beta=90.00 gamma=90.00
Space group Cmcm (No. 63)
One atom of each set of equivalent atoms:
Ce  0.000  0.000  0.000
Be  0.000  0.355  0.250
Ni  0.000  0.338  0.750
O  0.000  0.258  0.036
O  0.230  0.481  0.250

Calculated values
DFT total energy ... -48.2 eV/f.u.
Magnetic moment ... 2.00 μB per formula unit